NiSbBr2 | PBE-GGA | optimized geometry

Computed properties:
Uncorrected formation energy: 430 meV per atom
ΔE to the lowest computed polymorph: 731 meV/atom

Unit cell a=3.4256 b=5.9807 c=4.5592 alpha=90.00 beta=90.00 gamma=90.00
Last column: magnetic moment on the atom in μB.
Fractional positions:
1 Br 0.5000 0.5000 0.0000  0.00
2 Br 0.0000 0.0000 0.0000  0.02
3 Sb 0.0000 0.5000 0.5000  -0.01
4 Ni 0.5000 0.0000 0.5000  0.26